[1]
Compound: Sb3RhW
Source: Alexandria via LeMat-Bulk
Functional: GGA-PBE
Structure: relaxed

Computed properties:
Symmetry: Pm-3m
Theoretical density: 8.3 g/cm³
Offset from the most stable computed form: 131 meV/atom
Formation energy (no corrections): 1.169 eV/atom
DOS(E_F): 4.43 states/eV per cell
Raw total energy: -26.83 eV/cell

POSCAR file:
```
Sb3RhW
1.0
5.072 0.000 0.000
0.000 5.072 0.000
0.000 0.000 5.072
Sb Rh W
3 1 1
Direct
0.000 0.000 0.500 Sb
0.000 0.500 0.000 Sb
0.500 0.000 0.000 Sb
0.000 0.000 0.000 Rh
0.500 0.500 0.500 W
```

---

[2]
Compound: Sb2RhW
Source: Alexandria via LeMat-Bulk
Functional: GGA-PBE
Structure: relaxed

Computed properties:
Symmetry: P4mm
Theoretical density: 10.2 g/cm³
Offset from the most stable computed form: 0 meV/atom
Formation energy (no corrections): 0.095 eV/atom
DOS(E_F): 3.27 states/eV per cell
Raw total energy: -28.17 eV/cell

POSCAR file:
```
Sb2RhW
1.0
3.025 0.000 0.000
0.000 3.025 0.000
0.000 0.000 9.421
Sb Rh W
2 1 1
Direct
0.000 0.000 0.000 Sb
0.500 0.500 0.396 Sb
0.500 0.500 0.791 Rh
0.000 0.000 0.614 W
```

---

[3]
Compound: SbRhW3
Source: Alexandria via LeMat-Bulk
Functional: GGA-PBE
Structure: relaxed

Computed properties:
Symmetry: Pm-3m
Theoretical density: 12.0 g/cm³
Offset from the most stable computed form: 0 meV/atom
Formation energy (no corrections): 1.861 eV/atom
DOS(E_F): 6.53 states/eV per cell
Raw total energy: -41.03 eV/cell

POSCAR file:
```
SbRhW3
1.0
4.753 0.000 0.000
0.000 4.753 0.000
0.000 0.000 4.753
Sb Rh W
1 1 3
Direct
0.000 0.000 0.000 Sb
0.500 0.500 0.500 Rh
0.000 0.500 0.500 W
0.500 0.000 0.500 W
0.500 0.500 0.000 W
```

---

[4]
Compound: SbRhW
Source: Alexandria via LeMat-Bulk
Functional: GGA-PBE
Structure: relaxed

Computed properties:
Symmetry: P3m1
Theoretical density: 13.2 g/cm³
Offset from the most stable computed form: 151 meV/atom
Formation energy (no corrections): 0.351 eV/atom
DOS(E_F): 4.26 states/eV per cell
Raw total energy: -23.37 eV/cell

POSCAR file:
```
SbRhW
1.0
4.500 0.000 0.000
-2.250 3.897 0.000
0.000 0.000 2.924
Sb Rh W
1 1 1
Direct
0.000 0.000 0.000 Sb
0.667 0.333 0.003 Rh
0.333 0.667 0.502 W
```

---

[5]
Compound: SbRhW
Source: Alexandria via LeMat-Bulk
Functional: GGA-PBE
Structure: relaxed

Computed properties:
Symmetry: P3m1
Theoretical density: 12.9 g/cm³
Offset from the most stable computed form: 59 meV/atom
Formation energy (no corrections): 0.259 eV/atom
DOS(E_F): 1.66 states/eV per cell
Raw total energy: -23.65 eV/cell

POSCAR file:
```
SbRhW
1.0
3.016 0.000 0.000
-1.508 2.612 0.000
0.000 0.000 6.667
Sb Rh W
1 1 1
Direct
0.000 0.000 0.000 Sb
0.333 0.667 0.661 Rh
0.667 0.333 0.356 W
```

---

[6]
Compound: Sb2RhW
Source: Alexandria via LeMat-Bulk
Functional: GGA-PBE
Structure: relaxed

Computed properties:
Symmetry: I-4m2
Theoretical density: 11.7 g/cm³
Offset from the most stable computed form: 384 meV/atom
Formation energy (no corrections): 0.478 eV/atom
DOS(E_F): 2.95 states/eV per cell
Raw total energy: -26.64 eV/cell

POSCAR file:
```
Sb2RhW
1.0
-1.974 1.974 4.831
1.974 -1.974 4.831
1.974 1.974 -4.831
Sb Rh W
2 1 1
Direct
0.000 0.000 0.000 Sb
0.750 0.250 0.500 Sb
0.500 0.500 0.000 Rh
0.250 0.750 0.500 W
```

---

[7]
Compound: Sb4RhW2
Source: Alexandria via LeMat-Bulk
Functional: GGA-PBE
Structure: relaxed

Computed properties:
Symmetry: I4/mmm
Theoretical density: 8.9 g/cm³
Formation energy (no corrections): 0.878 eV/atom
DOS(E_F): 6.27 states/eV per cell
Raw total energy: -43.60 eV/cell

POSCAR file:
```
Sb4RhW2
1.0
-2.595 2.595 6.610
2.595 -2.595 6.610
2.595 2.595 -6.610
Sb Rh W
4 1 2
Direct
0.000 0.500 0.500 Sb
0.203 0.203 0.000 Sb
0.500 0.000 0.500 Sb
0.797 0.797 0.000 Sb
0.000 0.000 0.000 Rh
0.407 0.407 0.000 W
0.593 0.593 0.000 W
```

---

[8]
Compound: YSb2Rh
Source: Alexandria via LeMat-Bulk
Functional: GGA-PBE
Structure: relaxed

Computed properties:
Symmetry: Fm-3m
Theoretical density: 8.1 g/cm³
Formation energy (no corrections): -0.365 eV/atom
DOS(E_F): 6.29 states/eV per cell
Raw total energy: -23.52 eV/cell

POSCAR file:
```
YSb2Rh
1.0
0.000 3.552 3.552
3.552 0.000 3.552
3.552 3.552 0.000
Y Sb Rh
1 2 1
Direct
0.000 0.000 0.000 Y
0.250 0.250 0.250 Sb
0.750 0.750 0.750 Sb
0.500 0.500 0.500 Rh
```

---

[9]
Compound: YSbRh3
Source: Alexandria via LeMat-Bulk
Functional: GGA-PBE
Structure: relaxed

Computed properties:
Symmetry: Imma
Theoretical density: 9.1 g/cm³
Offset from the most stable computed form: 0 meV/atom
Formation energy (no corrections): -0.564 eV/atom
DOS(E_F): 3.75 states/eV per cell
Raw total energy: -70.92 eV/cell

POSCAR file:
```
YSbRh3
1.0
-2.763 3.826 4.466
2.763 -3.826 4.466
2.763 3.826 -4.466
Y Sb Rh
2 2 6
Direct
0.262 0.012 0.250 Y
0.738 0.988 0.750 Y
0.000 0.500 0.500 Sb
0.500 0.500 0.000 Sb
0.051 0.301 0.750 Rh
0.305 0.000 0.805 Rh
0.305 0.500 0.305 Rh
0.695 0.000 0.195 Rh
0.695 0.500 0.695 Rh
0.949 0.699 0.250 Rh
```

---

[10]
Compound: Y3SbRh
Source: Alexandria via LeMat-Bulk
Functional: GGA-PBE
Structure: relaxed

Computed properties:
Symmetry: Pm-3m
Theoretical density: 5.4 g/cm³
Offset from the most stable computed form: 0 meV/atom
Formation energy (no corrections): -0.514 eV/atom
DOS(E_F): 6.07 states/eV per cell
Raw total energy: -33.43 eV/cell

POSCAR file:
```
Y3SbRh
1.0
5.312 0.000 0.000
0.000 5.312 0.000
0.000 0.000 5.312
Y Sb Rh
3 1 1
Direct
0.000 0.000 0.500 Y
0.000 0.500 0.000 Y
0.500 0.000 0.000 Y
0.500 0.500 0.500 Sb
0.000 0.000 0.000 Rh
```

---

[11]
Compound: Y2Sb3Rh5
Source: Alexandria via LeMat-Bulk
Functional: GGA-PBE
Structure: relaxed

Computed properties:
Symmetry: Cmc2_1
Theoretical density: 9.0 g/cm³
Formation energy (no corrections): -0.691 eV/atom
DOS(E_F): 14.15 states/eV per cell
Raw total energy: -137.92 eV/cell

POSCAR file:
```
Y2Sb3Rh5
1.0
2.183 -12.732 0.000
2.183 12.732 0.000
0.000 0.000 6.983
Y Sb Rh
4 6 10
Direct
0.013 0.987 0.500 Y
0.320 0.680 0.563 Y
0.680 0.320 0.063 Y
0.987 0.013 0.000 Y
0.110 0.890 0.258 Sb
0.282 0.718 0.117 Sb
0.449 0.551 0.279 Sb
0.551 0.449 0.779 Sb
0.718 0.282 0.617 Sb
0.890 0.110 0.758 Sb
0.103 0.897 0.871 Rh
0.205 0.795 0.396 Rh
0.221 0.779 0.818 Rh
0.379 0.621 0.998 Rh
0.447 0.553 0.658 Rh
0.553 0.447 0.158 Rh
0.621 0.379 0.498 Rh
0.779 0.221 0.318 Rh
0.795 0.205 0.896 Rh
0.897 0.103 0.371 Rh
```

---

[12]
Compound: YSb2Rh
Source: Alexandria via LeMat-Bulk
Functional: GGA-PBE
Structure: relaxed

Computed properties:
Symmetry: P4/mmm
Theoretical density: 8.2 g/cm³
Formation energy (no corrections): -0.395 eV/atom
DOS(E_F): 3.58 states/eV per cell
Raw total energy: -23.64 eV/cell

POSCAR file:
```
YSb2Rh
1.0
3.392 0.000 0.000
0.000 3.392 0.000
0.000 0.000 7.680
Y Sb Rh
1 2 1
Direct
0.000 0.000 0.000 Y
0.500 0.500 0.288 Sb
0.500 0.500 0.712 Sb
0.000 0.000 0.500 Rh
```